Here is BaAlIr2 after structural relaxation from Alexandria. Energies are from GGA-PBE.

Computed properties:
- Calculated total energy: -5.610 eV/atom
- DOS(E_F): 0.846 states/eV per atom
- E_form: 236.4 meV per atom
- Relative energy among the computed polymorphs: 620 meV per atom

a = 6.116 Å, b = 6.116 Å, c = 6.116 Å
α = 151.81°, β = 128.96°, γ = 59.32°
Element x y z (fractional)
Ba 0.000 0.000 0.000
Al 0.701 0.201 0.500
Ir 0.292 0.792 0.500
Ir 0.501 0.501 0.000